The following is a PBE-GGA calculation of an optimized crystal structure of AcTbGa4, from Alexandria via LeMat-Bulk.

Values from the calculation:
* density of states at the Fermi level: 7.51 states/eV/cell
* energy above the most stable polymorph in this dataset: 0.00 kJ per mole of atoms
* formation energy: -0.61 eV/atom
* magnetization: 0.00 μB/atom
* uncorrected energy: -48.967 eV/cell

a b c (Å): 4.356 4.356 15.066
angles (deg): 90.00 90.00 90.00
Space group I-4m2 (No. 119)
Inequivalent atoms, fractional coordinates:
1 Ac 0.000 0.000 0.000 [2 per cell]
2 Tb 0.000 0.500 0.250 [2 per cell]
3 Ga 0.000 0.000 0.413 [4 per cell]
4 Ga 0.000 0.500 0.670 [4 per cell]

***

The following is a PBE-GGA calculation of an optimized crystal structure of Rb4AcU3Te8, from Alexandria via LeMat-Bulk.

Values from the calculation:
* density of states at the Fermi level: 74.61 states/eV/cell
* magnetization: 0.56 μB/atom
* uncorrected energy: -247.993 eV/cell

a b c (Å): 9.2828 9.2828 25.8055
angles (deg): 90.00 90.00 120.00
Space group R-3m (No. 166, hexagonal axes)
Inequivalent atoms, fractional coordinates:
1 Rb 0.0000 0.0000 0.0000 [3 per cell]
2 Rb 0.0000 0.5000 0.0000 [9 per cell]
3 Ac 0.0000 0.0000 0.5000 [3 per cell]
4 U 0.0000 0.5000 0.5000 [9 per cell]
5 Te 0.0000 0.0000 0.2329 [6 per cell]
6 Te 0.0138 0.5069 0.7644 [18 per cell]

***

The following is a PBE-GGA calculation of an optimized crystal structure of BiAuS2, from Alexandria via LeMat-Bulk.

Values from the calculation:
* density of states at the Fermi level: 2.49 states/eV/cell
* magnetization: 0.00 μB/atom
* uncorrected energy: -63.679 eV/cell

a b c (Å): 3.942 24.910 3.993
angles (deg): 90.00 90.00 90.00
Space group Cmcm (No. 63)
Inequivalent atoms, fractional coordinates:
1 Bi 0.000 0.176 0.250 [4 per cell]
2 Au 0.000 0.463 0.250 [4 per cell]
3 S 0.000 0.295 0.250 [4 per cell]
4 S 0.000 0.409 0.750 [4 per cell]

***

The following is a PBE-GGA calculation of an optimized crystal structure of Cs2Ba2Cd, from Alexandria via LeMat-Bulk.

Values from the calculation:
* density of states at the Fermi level: 9.64 states/eV/cell
* formation energy: 0.09 eV/atom
* magnetization: 0.00 μB/atom
* uncorrected energy: -12.018 eV/cell

a b c (Å): 9.337 9.337 8.109
angles (deg): 90.00 90.00 90.00
Space group P4/mbm (No. 127)
Inequivalent atoms, fractional coordinates:
1 Cs 0.180 0.320 0.000 [4 per cell]
2 Ba 0.170 0.670 0.500 [4 per cell]
3 Cd 0.000 0.000 0.500 [2 per cell]

***

The following is a PBE-GGA calculation of an optimized crystal structure of Cu2Se3, from Alexandria via LeMat-Bulk.

Values from the calculation:
* density of states at the Fermi level: 11.92 states/eV/cell
* magnetization: 0.00 μB/atom
* uncorrected energy: -73.883 eV/cell

a b c (Å): 6.197 11.025 6.250
angles (deg): 90.00 110.99 90.00
Space group C2/c (No. 15)
Inequivalent atoms, fractional coordinates:
1 Cu 0.000 0.083 0.250 [4 per cell]
2 Cu 0.000 0.248 0.750 [4 per cell]
3 Se 0.230 0.092 0.015 [8 per cell]
4 Se 0.250 0.250 0.500 [4 per cell]

***

The following is a PBE-GGA calculation of an optimized crystal structure of MnIrPt2, from Alexandria via LeMat-Bulk.

Values from the calculation:
* density of states at the Fermi level: 8.62 states/eV/cell
* formation energy: -0.18 eV/atom
* magnetization: 0.69 μB/atom
* uncorrected energy: -61.625 eV/cell

a b c (Å): 3.907 3.907 7.737
angles (deg): 90.00 90.00 90.00
Space group I-4m2 (No. 119)
Inequivalent atoms, fractional coordinates:
1 Mn 0.000 0.000 0.000 [2 per cell]
2 Ir 0.000 0.500 0.250 [2 per cell]
3 Pt 0.000 0.000 0.500 [2 per cell]
4 Pt 0.000 0.500 0.750 [2 per cell]

***

The following is a PBE-GGA calculation of an optimized crystal structure of LiPdAu2, from Alexandria via LeMat-Bulk.

Values from the calculation:
* density of states at the Fermi level: 0.90 states/eV/cell
* energy above the most stable polymorph in this dataset: 7.71 kJ per mole of atoms
* formation energy: -0.31 eV/atom
* magnetization: 0.00 μB/atom
* uncorrected energy: -14.921 eV/cell

a b c (Å): 2.992 2.992 7.057
angles (deg): 90.00 90.00 90.00
Space group P4/mmm (No. 123)
Inequivalent atoms, fractional coordinates:
1 Li 0.000 0.000 0.000 [1 per cell]
2 Pd 0.000 0.000 0.500 [1 per cell]
3 Au 0.500 0.500 0.231 [2 per cell]

***

The following is a PBE-GGA calculation of an optimized crystal structure of CrRu2Cl, from Alexandria via LeMat-Bulk.

Values from the calculation:
* density of states at the Fermi level: 18.23 states/eV/cell
* energy above the most stable polymorph in this dataset: 53.77 kJ per mole of atoms
* magnetization: 0.00 μB/atom
* uncorrected energy: -106.423 eV/cell

a b c (Å): 5.409 5.409 10.314
angles (deg): 90.00 90.00 90.00
Space group I-42d (No. 122)
Inequivalent atoms, fractional coordinates:
1 Cr 0.000 0.000 0.000 [4 per cell]
2 Ru 0.229 0.250 0.125 [8 per cell]
3 Cl 0.000 0.000 0.500 [4 per cell]

***

The following is a PBE-GGA calculation of an optimized crystal structure of CdSi2TeS, from Alexandria via LeMat-Bulk.

Values from the calculation:
* density of states at the Fermi level: 2.89 states/eV/cell
* magnetization: 0.00 μB/atom
* uncorrected energy: -14.245 eV/cell

a b c (Å): 5.228 5.228 4.737
angles (deg): 90.00 90.00 90.00
Space group P4/mmm (No. 123)
Inequivalent atoms, fractional coordinates:
1 Cd 0.000 0.000 0.000 [1 per cell]
2 Si 0.000 0.500 0.000 [2 per cell]
3 Te 0.500 0.500 0.500 [1 per cell]
4 S 0.000 0.000 0.500 [1 per cell]

***

The following is a PBE-GGA calculation of an optimized crystal structure of Tb3SmDy2Te6, from Alexandria via LeMat-Bulk.

Values from the calculation:
* density of states at the Fermi level: 12.90 states/eV/cell
* magnetization: 0.00 μB/atom
* uncorrected energy: -124.820 eV/cell

a b c (Å): 19.069 4.357 8.799
angles (deg): 90.00 103.15 90.00
Space group C2/m (No. 12)
Inequivalent atoms, fractional coordinates:
1 Tb 0.000 0.000 0.000 [2 per cell]
2 Tb 0.164 0.500 0.333 [4 per cell]
3 Sm 0.000 0.000 0.500 [2 per cell]
4 Dy 0.165 0.500 0.830 [4 per cell]
5 Te 0.001 0.500 0.755 [4 per cell]
6 Te 0.168 0.000 0.082 [4 per cell]
7 Te 0.170 0.000 0.586 [4 per cell]

***

The following is a PBE-GGA calculation of an optimized crystal structure of SrHf2SnTe, from Alexandria via LeMat-Bulk.

Values from the calculation:
* density of states at the Fermi level: 6.08 states/eV/cell
* energy above the most stable polymorph in this dataset: 0.00 kJ per mole of atoms
* magnetization: 0.49 μB/atom
* uncorrected energy: -25.375 eV/cell

a b c (Å): 5.408 5.408 6.079
angles (deg): 90.00 90.00 90.00
Space group P4/mmm (No. 123)
Inequivalent atoms, fractional coordinates:
1 Sr 0.000 0.000 0.000 [1 per cell]
2 Hf 0.000 0.500 0.500 [2 per cell]
3 Sn 0.500 0.500 0.500 [1 per cell]
4 Te 0.500 0.500 0.000 [1 per cell]

***

The following is a PBE-GGA calculation of an optimized crystal structure of KSr2Br, from Alexandria via LeMat-Bulk.

Values from the calculation:
* density of states at the Fermi level: 14.42 states/eV/cell
* magnetization: 0.00 μB/atom
* uncorrected energy: -28.457 eV/cell

a b c (Å): 9.321 9.321 9.321
angles (deg): 90.00 90.00 90.00
Space group Fm-3m (No. 225)
Inequivalent atoms, fractional coordinates:
1 K 0.000 0.000 0.000 [4 per cell]
2 Sr 0.250 0.250 0.250 [8 per cell]
3 Br 0.000 0.000 0.500 [4 per cell]

***

The following is a PBE-GGA calculation of an optimized crystal structure of CaZr2VI, from Alexandria via LeMat-Bulk.

Values from the calculation:
* density of states at the Fermi level: 6.07 states/eV/cell
* energy above the most stable polymorph in this dataset: 31.43 kJ per mole of atoms
* magnetization: 0.45 μB/atom
* uncorrected energy: -25.620 eV/cell

a b c (Å): 5.358 5.358 5.018
angles (deg): 90.00 90.00 90.00
Space group P4/mmm (No. 123)
Inequivalent atoms, fractional coordinates:
1 Ca 0.000 0.000 0.000 [1 per cell]
2 Zr 0.000 0.500 0.500 [2 per cell]
3 V 0.500 0.500 0.000 [1 per cell]
4 I 0.500 0.500 0.500 [1 per cell]

***

The following is a PBE-GGA calculation of an optimized crystal structure of GaSn5Te6, from Alexandria via LeMat-Bulk.

Values from the calculation:
* density of states at the Fermi level: 10.93 states/eV/cell
* magnetization: 0.00 μB/atom
* uncorrected energy: -90.114 eV/cell

a b c (Å): 7.771 13.490 7.702
angles (deg): 90.00 109.82 90.00
Space group C2/m (No. 12)
Inequivalent atoms, fractional coordinates:
1 Ga 0.000 0.000 0.000 [2 per cell]
2 Sn 0.000 0.171 0.500 [4 per cell]
3 Sn 0.000 0.336 0.000 [4 per cell]
4 Sn 0.000 0.500 0.500 [2 per cell]
5 Te 0.246 0.000 0.752 [4 per cell]
6 Te 0.247 0.165 0.247 [8 per cell]

***

The following is a PBE-GGA calculation of an optimized crystal structure of BeRe2Ru, from Alexandria via LeMat-Bulk.

Values from the calculation:
* density of states at the Fermi level: 16.43 states/eV/cell
* energy above the most stable polymorph in this dataset: 63.57 kJ per mole of atoms
* formation energy: 0.59 eV/atom
* magnetization: 0.00 μB/atom
* uncorrected energy: -142.168 eV/cell

a b c (Å): 3.670 3.670 17.579
angles (deg): 90.00 90.00 90.00
Space group I-42d (No. 122)
Inequivalent atoms, fractional coordinates:
1 Be 0.000 0.000 0.000 [4 per cell]
2 Re 0.212 0.250 0.125 [8 per cell]
3 Ru 0.000 0.000 0.500 [4 per cell]

***

The following is a PBE-GGA calculation of an optimized crystal structure of KRbAlPb2, from Alexandria via LeMat-Bulk.

Values from the calculation:
* density of states at the Fermi level: 3.48 states/eV/cell
* formation energy: 0.11 eV/atom
* magnetization: 0.00 μB/atom
* uncorrected energy: -12.657 eV/cell

a b c (Å): 5.645 5.645 6.351
angles (deg): 90.00 90.00 90.00
Space group P4/mmm (No. 123)
Inequivalent atoms, fractional coordinates:
1 K 0.000 0.000 0.000 [1 per cell]
2 Rb 0.500 0.500 0.000 [1 per cell]
3 Al 0.000 0.000 0.500 [1 per cell]
4 Pb 0.000 0.500 0.500 [2 per cell]

***

The following is a PBE-GGA calculation of an optimized crystal structure of MnAsIr, from Alexandria via LeMat-Bulk.

Values from the calculation:
* density of states at the Fermi level: 9.77 states/eV/cell
* formation energy: -0.06 eV/atom
* magnetization: 0.78 μB/atom
* uncorrected energy: -91.433 eV/cell

a b c (Å): 8.640 3.761 5.999
angles (deg): 90.00 105.32 90.00
Space group Cm (No. 8)
Inequivalent atoms, fractional coordinates:
1 Mn 0.000 0.000 0.000 [2 per cell]
2 Mn 0.227 0.500 0.148 [2 per cell]
3 As 0.307 0.500 0.593 [2 per cell]
4 As 0.469 0.000 0.257 [2 per cell]
5 Ir 0.031 0.500 0.710 [2 per cell]
6 Ir 0.262 0.000 0.869 [2 per cell]

***

The following is a PBE-GGA calculation of an optimized crystal structure of Ba2SrSb, from Alexandria via LeMat-Bulk.

Values from the calculation:
* density of states at the Fermi level: 7.08 states/eV/cell
* magnetization: 0.00 μB/atom
* uncorrected energy: -22.664 eV/cell

a b c (Å): 5.301 5.301 11.852
angles (deg): 90.00 90.00 90.00
Space group I4/mmm (No. 139)
Inequivalent atoms, fractional coordinates:
1 Ba 0.000 0.500 0.250 [4 per cell]
2 Sr 0.000 0.000 0.000 [2 per cell]
3 Sb 0.000 0.000 0.500 [2 per cell]

***

The following is a PBE-GGA calculation of an optimized crystal structure of Ca10Mg2Sb9, from Alexandria via LeMat-Bulk.

Values from the calculation:
* density of states at the Fermi level: 14.54 states/eV/cell
* magnetization: 0.00 μB/atom
* uncorrected energy: -320.233 eV/cell

a b c (Å): 11.941 11.941 17.353
angles (deg): 90.00 90.00 90.00
Space group P4_2/mnm (No. 136)
Inequivalent atoms, fractional coordinates:
1 Ca 0.000 0.000 0.137 [4 per cell]
2 Ca 0.011 0.251 0.308 [16 per cell]
3 Ca 0.014 0.339 0.103 [16 per cell]
4 Ca 0.181 0.819 0.500 [4 per cell]
5 Mg 0.101 0.101 0.500 [4 per cell]
6 Mg 0.211 0.789 0.000 [4 per cell]
7 Sb 0.000 0.000 0.366 [4 per cell]
8 Sb 0.000 0.500 0.250 [4 per cell]
9 Sb 0.033 0.333 0.500 [8 per cell]
10 Sb 0.135 0.135 0.000 [4 per cell]
11 Sb 0.188 0.812 0.169 [8 per cell]
12 Sb 0.218 0.218 0.177 [8 per cell]

***

The following is a PBE-GGA calculation of an optimized crystal structure of CaGdHo2, from Alexandria via LeMat-Bulk.

Values from the calculation:
* density of states at the Fermi level: 33.43 states/eV/cell
* energy above the most stable polymorph in this dataset: 3.30 kJ per mole of atoms
* formation energy: 0.17 eV/atom
* magnetization: 2.02 μB/atom
* uncorrected energy: -98.241 eV/cell

a b c (Å): 8.107 8.107 8.107
angles (deg): 90.00 90.00 90.00
Space group Fm-3m (No. 225)
Inequivalent atoms, fractional coordinates:
1 Ca 0.000 0.000 0.000 [4 per cell]
2 Gd 0.000 0.000 0.500 [4 per cell]
3 Ho 0.250 0.250 0.250 [8 per cell]

***

The following is a PBE-GGA calculation of an optimized crystal structure of CeGa4Pd2Pt, from Alexandria via LeMat-Bulk.

Values from the calculation:
* density of states at the Fermi level: 26.16 states/eV/cell
* formation energy: -0.63 eV/atom
* magnetization: 0.09 μB/atom
* uncorrected energy: -118.427 eV/cell

a b c (Å): 4.3208 4.3208 26.5871
angles (deg): 90.00 90.00 120.00
Space group R-3m (No. 166, hexagonal axes)
Inequivalent atoms, fractional coordinates:
1 Ce 0.0000 0.0000 0.0000 [3 per cell]
2 Ga 0.0000 0.0000 0.1305 [6 per cell]
3 Ga 0.0000 0.0000 0.3990 [6 per cell]
4 Pd 0.0000 0.0000 0.2396 [6 per cell]
5 Pt 0.0000 0.0000 0.5000 [3 per cell]